Record 1
## Ac2Ag3Pb2 (PBE)

Data for Ac2Ag3Pb2 after structural relaxation.

abc: 11.838 4.918 7.301
angles: 90.00 110.22 90.00
Fractional coordinates of all 14 atoms:
Ac1 0.144 0.000 0.248
Ac2 0.356 0.500 0.752
Ac3 0.644 0.500 0.248
Ac4 0.856 0.000 0.752
Ag1 0.000 0.500 0.500
Ag2 0.091 0.500 0.918
Ag3 0.409 0.000 0.082
Ag4 0.500 0.000 0.500
Ag5 0.591 0.000 0.918
Ag6 0.909 0.500 0.082
Pb1 0.150 0.000 0.738
Pb2 0.350 0.500 0.262
Pb3 0.650 0.500 0.738
Pb4 0.850 0.000 0.262

Calculated values
Calculated density in Mg/m³: 9.93
Space group: No. 12
E_form in eV/atom: -0.329

Record 2
## Ac6Ag5Pb (PBE)

Data for Ac6Ag5Pb after structural relaxation.

abc: 9.805 9.805 9.805
angles: 146.56 131.72 60.01
Fractional coordinates of all 12 atoms:
Ac1 0.076 0.330 0.746
Ac2 0.242 0.000 0.242
Ac3 0.416 0.670 0.746
Ac4 0.584 0.330 0.254
Ac5 0.758 0.000 0.758
Ac6 0.924 0.670 0.254
Ag1 0.000 0.500 0.500
Ag2 0.168 0.168 0.000
Ag3 0.334 0.834 0.500
Ag4 0.666 0.166 0.500
Ag5 0.832 0.832 0.000
Pb1 0.500 0.500 0.000

Calculated values
Calculated density in Mg/m³: 9.11
Space group: No. 71
E_form in eV/atom: -0.296

Record 3
## Ac3Ag2Pb3 (PBE)

Data for Ac3Ag2Pb3 after structural relaxation.

abc: 6.600 6.600 16.660
angles: 90.00 90.00 135.74
Fractional coordinates of all 16 atoms:
Ac1 0.086 0.914 0.610
Ac2 0.086 0.914 0.890
Ac3 0.363 0.637 0.750
Ac4 0.637 0.363 0.250
Ac5 0.914 0.086 0.110
Ac6 0.914 0.086 0.390
Ag1 0.209 0.791 0.102
Ag2 0.209 0.791 0.398
Ag3 0.791 0.209 0.602
Ag4 0.791 0.209 0.898
Pb1 0.346 0.654 0.250
Pb2 0.379 0.621 0.539
Pb3 0.379 0.621 0.961
Pb4 0.621 0.379 0.039
Pb5 0.621 0.379 0.461
Pb6 0.654 0.346 0.750

Calculated values
Calculated density in Mg/m³: 9.96
Space group: No. 63
E_form in eV/atom: -0.438